A relaxed structure of NaMn2Sb. Source: Alexandria via LeMat-Bulk, functional PBE-GGA.

POSCAR file:
```
NaMn2Sb
1.0
-2.411 2.411 9.315
2.411 -2.411 9.315
2.411 2.411 -9.315
Na Mn Sb
2 4 2
Direct
0.000 0.000 0.000
0.750 0.250 0.500
0.300 0.625 0.175
0.375 0.550 0.675
0.450 0.125 0.825
0.875 0.700 0.325
0.250 0.750 0.500
0.500 0.500 0.000
```

Results
Formation energy without anion corrections = 0.59 eV per atom